Density functional theory data (PBE) for Ni2HgSb after structural relaxation.

Cell lengths 3.182, 3.215, 7.101 Å; angles 90.00, 90.00, 90.00 degrees
Space group Pmm2 (No. 25)
Asymmetric unit:
Ni (0.000, 0.000, 0.000)
Ni (0.500, 0.500, 0.180)
Hg (0.500, 0.500, 0.787)
Sb (0.000, 0.000, 0.371)

Summary:
electronic total energy = -3.889 eV/atom
crystal system = orthorhombic
total moment = 0.00 μB/cell